[1]
This record from Alexandria via LeMat-Bulk describes crystalline Zn5Cu at its relaxed geometry. The functional is PBE.

a = 9.854 Å, b = 2.785 Å, c = 6.376 Å
α = 90.00°, β = 103.77°, γ = 90.00°
Space group Cm (No. 8)
Unique sites:
Zn: 0.000 0.000 0.000
Zn: 0.052 0.000 0.616
Zn: 0.171 0.500 0.345
Zn: 0.226 0.500 0.941
Zn: 0.390 0.000 0.284
Cu: 0.333 0.000 0.668

Computed properties:
Magnetic moment = 0.00 Bohr magnetons per cell
Electronic total energy = -1.78 eV per atom
ΔH_f (0 K) = -0.033 eV per atom

=====

[2]
This record from Alexandria via LeMat-Bulk describes crystalline HgPt2C4 at its relaxed geometry. The functional is PBE.

a = 4.301 Å, b = 4.301 Å, c = 11.783 Å
α = 90.00°, β = 90.00°, γ = 90.00°
Space group I4/mmm (No. 139)
Unique sites:
Hg: 0.000 0.000 0.000
Pt: 0.000 0.000 0.385
C: 0.000 0.000 0.234
C: 0.000 0.500 0.000

Computed properties:
Magnetic moment = 0.00 Bohr magnetons per cell
Electronic total energy = -4.49 eV per atom
ΔH_f (0 K) = 2.553 eV per atom

=====

[3]
This record from Alexandria via LeMat-Bulk describes crystalline CeYC at its relaxed geometry. The functional is PBE.

a = 3.5670 Å, b = 3.5670 Å, c = 6.3667 Å
α = 90.00°, β = 90.00°, γ = 120.00°
Space group P3m1 (No. 156)
Unique sites:
Ce: 0.0000 0.0000 0.0000
Y: 0.3333 0.6667 0.4364
C: 0.6667 0.3333 0.2137

Computed properties:
Magnetic moment = 1.12 Bohr magnetons per cell
Electronic total energy = -7.40 eV per atom
ΔH_f (0 K) = -0.191 eV per atom
Energy above the most stable polymorph in this dataset = 14.6 meV/atom

=====

[4]
This record from Alexandria via LeMat-Bulk describes crystalline NaV2W at its relaxed geometry. The functional is PBE.

a = 6.307 Å, b = 6.307 Å, c = 6.307 Å
α = 90.00°, β = 90.00°, γ = 90.00°
Space group Fm-3m (No. 225)
Unique sites:
Na: 0.000 0.000 0.000
V: 0.250 0.250 0.250
W: 0.000 0.000 0.500

Computed properties:
Magnetic moment = 0.00 Bohr magnetons per cell
Electronic total energy = -7.28 eV per atom
ΔH_f (0 K) = 0.849 eV per atom
Energy above the most stable polymorph in this dataset = 0.0 meV/atom

=====

[5]
This record from Alexandria via LeMat-Bulk describes crystalline SrCaOs2 at its relaxed geometry. The functional is PBE.

a = 3.506 Å, b = 4.658 Å, c = 9.692 Å
α = 90.00°, β = 90.00°, γ = 90.00°
Space group Cmmm (No. 65)
Unique sites:
Sr: 0.000 0.000 0.000
Ca: 0.000 0.000 0.500
Os: 0.000 0.500 0.258

Computed properties:
Magnetic moment = 0.00 Bohr magnetons per cell
Electronic total energy = -5.57 eV per atom
ΔH_f (0 K) = 0.966 eV per atom
Energy above the most stable polymorph in this dataset = 568.3 meV/atom

=====

[6]
This record from Alexandria via LeMat-Bulk describes crystalline Tb4PbAu5 at its relaxed geometry. The functional is PBE.

a = 3.649 Å, b = 3.649 Å, c = 17.832 Å
α = 90.00°, β = 90.00°, γ = 90.00°
Space group P4/mmm (No. 123)
Unique sites:
Tb: 0.000 0.000 0.102
Tb: 0.000 0.000 0.304
Pb: 0.000 0.000 0.500
Au: 0.500 0.500 0.000
Au: 0.500 0.500 0.200
Au: 0.500 0.500 0.389

Computed properties:
Magnetic moment = 0.00 Bohr magnetons per cell
Electronic total energy = -4.61 eV per atom
ΔH_f (0 K) = -0.743 eV per atom

=====

[7]
This record from Alexandria via LeMat-Bulk describes crystalline GdHoRh at its relaxed geometry. The functional is PBE.

a = 3.468 Å, b = 3.468 Å, c = 12.598 Å
α = 90.00°, β = 90.00°, γ = 90.00°
Space group I4mm (No. 107)
Unique sites:
Gd: 0.000 0.000 0.000
Ho: 0.000 0.000 0.261
Rh: 0.000 0.000 0.636

Computed properties:
Magnetic moment = 14.69 Bohr magnetons per cell
Electronic total energy = -9.22 eV per atom
ΔH_f (0 K) = -0.547 eV per atom
Energy above the most stable polymorph in this dataset = 24.5 meV/atom

=====

[8]
This record from Alexandria via LeMat-Bulk describes crystalline Cd4Si3 at its relaxed geometry. The functional is PBE.

a = 5.1555 Å, b = 5.1555 Å, c = 6.2175 Å
α = 90.00°, β = 90.00°, γ = 120.00°
Space group P6/mmm (No. 191)
Unique sites:
Cd: 0.0000 0.0000 0.2331
Cd: 0.3333 0.6667 0.0000
Si: 0.0000 0.5000 0.5000

Computed properties:
Magnetic moment = 0.00 Bohr magnetons per cell
Electronic total energy = -2.50 eV per atom
Formation energy without anion corrections = 237 kJ/mol of formula units
Energy above the most stable polymorph in this dataset = 52.0 meV/atom